A relaxed Pa2AsN3 crystal. Source: the Alexandria database, functional PBE.

Summary:
VASP energy = -57.28 eV per formula unit

Geometry as POSCAR:
```
Pa2AsN3
1.0
3.881 0.000 0.000
-1.940 5.501 -3.191
0.000 -0.036 9.120
Pa As N
4 2 6
Direct
0.524 0.048 0.787
0.476 0.952 0.213
0.826 0.653 0.403
0.174 0.347 0.597
0.869 0.738 0.895
0.131 0.262 0.105
0.341 0.683 0.557
0.015 0.029 0.658
0.694 0.387 0.774
0.306 0.613 0.226
0.985 0.971 0.342
0.659 0.317 0.443
```

=====

A relaxed Pa2AsN2 crystal. Source: the Alexandria database, functional PBE.

Summary:
VASP energy = -48.18 eV per formula unit

Geometry as POSCAR:
```
Pa2AsN2
1.0
3.810 0.406 -0.168
-0.413 3.809 -0.168
-1.461 -1.813 6.153
Pa As N
2 1 2
Direct
0.648 0.648 0.296
0.352 0.352 0.704
0.000 0.000 0.000
0.250 0.750 0.500
0.750 0.250 0.500
```

=====

A relaxed Pa2AsN crystal. Source: the Alexandria database, functional PBE.

Summary:
Offset from the most stable computed form = 357 meV per atom
VASP energy = -35.41 eV per formula unit

Geometry as POSCAR:
```
Pa2AsN
1.0
-0.272 2.780 2.170
-1.725 -0.317 3.072
5.397 -1.090 4.949
Pa As N
2 1 1
Direct
0.093 0.093 0.720
0.240 0.240 0.281
0.667 0.667 0.999
0.500 0.500 0.500
```

=====

A relaxed Pa2AsN crystal. Source: the Alexandria database, functional PBE.

Summary:
Offset from the most stable computed form = 159 meV per atom
VASP energy = -36.20 eV per formula unit

Geometry as POSCAR:
```
Pa2AsN
1.0
5.507 0.000 0.000
0.000 5.503 0.215
0.000 -0.409 10.451
Pa As N
8 4 4
Direct
0.750 0.000 0.898
0.250 0.000 0.102
0.750 0.500 0.602
0.250 0.500 0.398
0.750 0.500 0.148
0.250 0.500 0.852
0.750 0.000 0.352
0.250 0.000 0.648
0.250 0.000 0.375
0.750 0.000 0.625
0.250 0.500 0.125
0.750 0.500 0.875
0.250 0.500 0.625
0.750 0.500 0.375
0.250 0.000 0.875
0.750 0.000 0.125
```

=====

A relaxed Pa2AsN crystal. Source: the Alexandria database, functional PBE.

Summary:
Offset from the most stable computed form = 660 meV per atom
VASP energy = -34.19 eV per formula unit

Geometry as POSCAR:
```
Pa2AsN
1.0
-2.744 -0.425 1.679
-1.115 -1.974 -2.322
2.744 -5.261 3.154
As Pa N
1 2 1
Direct
0.500 0.500 0.500
0.000 0.000 0.777
0.000 0.000 0.223
0.500 0.500 0.000
```

=====

A relaxed Pa4AsN5 crystal. Source: the Alexandria database, functional PBE.

Summary:
VASP energy = -97.46 eV per formula unit

Geometry as POSCAR:
```
Pa4AsN5
1.0
-2.028 -1.943 2.537
7.000 -2.757 0.660
-1.308 5.716 3.331
Pa As N
4 1 5
Direct
0.724 0.447 0.224
0.000 0.000 0.289
0.276 0.553 0.776
0.000 0.000 0.711
0.500 0.000 0.000
0.172 0.345 0.394
0.172 0.345 0.950
0.828 0.655 0.050
0.500 0.000 0.500
0.828 0.655 0.606
```

=====

A relaxed Pa3AsN4 crystal. Source: the Alexandria database, functional PBE.

Summary:
VASP energy = -79.89 eV per formula unit

Geometry as POSCAR:
```
Pa3AsN4
1.0
-2.102 3.220 0.223
-3.135 -1.972 -1.060
-1.755 -1.728 8.403
As Pa N
1 3 4
Direct
0.000 0.000 0.500
0.000 0.000 0.000
0.500 0.500 0.286
0.500 0.500 0.714
0.000 0.500 0.159
0.000 0.500 0.841
0.500 0.000 0.841
0.500 0.000 0.159
```

=====

A relaxed Pa6AsN12 crystal. Source: the Alexandria database, functional PBE.

Summary:
VASP energy = -185.47 eV per formula unit

Geometry as POSCAR:
```
Pa6AsN12
1.0
-3.204 -2.567 5.094
5.799 -2.904 0.858
1.404 5.873 2.517
Pa As N
6 1 12
Direct
0.136 0.291 0.598
0.709 0.402 0.864
0.402 0.864 0.709
0.864 0.709 0.402
0.291 0.598 0.136
0.598 0.136 0.291
0.000 0.000 0.000
0.436 0.175 0.598
0.175 0.598 0.436
0.598 0.436 0.175
0.564 0.825 0.402
0.825 0.402 0.564
0.402 0.564 0.825
0.048 0.938 0.698
0.302 0.952 0.062
0.062 0.302 0.952
0.952 0.062 0.302
0.698 0.048 0.938
0.938 0.698 0.048
```

=====

A relaxed PaAsN crystal. Source: the Alexandria database, functional PBE.

Summary:
Offset from the most stable computed form = 339 meV per atom
VASP energy = -25.52 eV per formula unit

Geometry as POSCAR:
```
PaAsN
1.0
4.280 0.000 0.000
0.000 3.861 0.000
0.000 -1.930 3.343
As Pa N
1 1 1
Direct
0.667 0.667 0.333
0.167 0.000 0.000
0.167 0.333 0.667
```

=====

A relaxed Pa5As5N crystal. Source: the Alexandria database, functional PBE.

Summary:
VASP energy = -88.71 eV per formula unit

Geometry as POSCAR:
```
Pa5As5N
1.0
-3.252 0.128 4.601
6.534 -1.715 1.215
-0.366 7.881 -0.478
Pa As N
5 5 1
Direct
0.848 0.696 0.148
0.848 0.696 0.697
0.500 0.000 0.000
0.152 0.304 0.303
0.152 0.304 0.852
0.679 0.357 0.339
0.654 0.309 0.808
0.000 0.000 0.500
0.346 0.691 0.192
0.321 0.643 0.661
0.000 0.000 0.000
```

=====

A relaxed PaAsN crystal. Source: the Alexandria database, functional PBE.

Summary:
Offset from the most stable computed form = 426 meV per atom
VASP energy = -25.26 eV per formula unit

Geometry as POSCAR:
```
PaAsN
1.0
5.880 -0.978 0.000
-2.004 5.614 0.000
0.000 0.000 4.043
As Pa N
2 2 2
Direct
0.617 0.383 0.750
0.383 0.617 0.250
0.141 0.859 0.750
0.859 0.141 0.250
0.076 0.924 0.250
0.924 0.076 0.750
```

=====

A relaxed Pa2AsN crystal. Source: the Alexandria database, functional PBE.

Summary:
Offset from the most stable computed form = 0 meV per atom
VASP energy = -36.83 eV per formula unit

Geometry as POSCAR:
```
Pa2AsN
1.0
3.692 0.000 0.000
1.846 3.198 0.000
1.846 1.066 6.558
As Pa N
1 2 1
Direct
0.000 0.000 0.000
0.765 0.765 0.706
0.235 0.235 0.294
0.500 0.500 0.500
```

=====

Record order is preserved below.
Uncorrected formation energy: -1.4438 -1.5782 -0.8596 -1.0571 -0.5569 -1.3195 -1.6815 -1.2603 -1.0154 -0.8779 -0.9283 -1.2165 eV per atom
Record order is preserved below.
Density of states at the Fermi level: 0.11 3.12 5.35 3.87 6.56 4.85 0.01 11.40 3.30 12.73 2.34 3.84 states/eV/f.u.